(1)
MoHSeN2, relaxed, DFT PBE; energy above the most stable polymorph in this dataset = 0 meV per atom; E_tot = -5.9798 eV per atom; total magnetization = 0.40 μB per formula unit
1.0
3.832 0.000 0.000
0.000 3.832 0.000
0.000 0.000 5.305
Mo H Se N
1 1 1 2
direct
0.000 0.000 0.000
0.500 0.500 0.500
0.000 0.000 0.500
0.000 0.500 0.000
0.500 0.000 0.000

(2)
LiPaSnSe4, relaxed, DFT PBE; E_tot = -5.2544 eV per atom; raw formation energy = -717 kJ/mol of formula units; total magnetization = 0.00 μB per formula unit
1.0
-4.120 4.219 6.048
4.120 -4.219 6.048
4.120 4.219 -6.048
Li Pa Sn Se
2 2 2 8
direct
0.388 0.138 0.250
0.612 0.862 0.750
0.000 0.500 0.500
0.500 0.500 0.000
0.000 0.000 0.500
0.000 0.500 0.000
0.228 0.725 0.503
0.247 0.266 0.519
0.247 0.728 0.981
0.278 0.275 0.003
0.722 0.725 0.997
0.753 0.272 0.019
0.753 0.734 0.481
0.772 0.275 0.497

(3)
PdS2NCl, relaxed, DFT PBE; energy above the most stable polymorph in this dataset = 688 meV per atom; E_tot = -3.0349 eV per atom; raw formation energy = 815 kJ/mol of formula units; total magnetization = 0.00 μB per formula unit
1.0
4.860 0.000 0.000
0.000 4.860 0.000
0.000 0.000 3.339
Pd S N Cl
1 2 1 1
direct
0.000 0.000 0.000
0.000 0.500 0.500
0.500 0.000 0.500
0.500 0.500 0.000
0.500 0.500 0.500

(4)
La2PmHo4Th, relaxed, DFT PBE; E_tot = -5.0350 eV per atom; energy of formation = 7 meV per atom; total magnetization = 0.00 μB per formula unit
1.0
6.289 0.000 0.000
0.000 3.616 0.000
-0.030 0.000 11.530
La Pm Ho Th
2 1 4 1
direct
0.000 0.000 0.000
0.500 0.500 0.500
0.000 0.000 0.500
0.172 0.500 0.752
0.336 0.000 0.244
0.664 0.000 0.756
0.828 0.500 0.248
0.500 0.500 0.000

(5)
Pm2CdH2, relaxed, DFT PBE; E_tot = -3.9584 eV per atom; total magnetization = 0.00 μB per formula unit
1.0
-1.963 1.963 6.217
1.963 -1.963 6.217
1.963 1.963 -6.217
Pm Cd H
2 1 2
direct
0.150 0.150 0.000
0.850 0.850 0.000
0.500 0.500 0.000
0.250 0.750 0.500
0.750 0.250 0.500

(6)
YNbFeRu, relaxed, DFT PBE; E_tot = -8.6057 eV per atom; energy of formation = -38 meV per atom; total magnetization = 0.14 μB per formula unit
1.0
0.000 3.238 3.238
3.238 0.000 3.238
3.238 3.238 0.000
Y Nb Fe Ru
1 1 1 1
direct
0.000 0.000 0.000
0.500 0.500 0.500
0.750 0.750 0.750
0.250 0.250 0.250